No. 1
Here is a PBEsol-optimized structure of MgTa2Os from the Alexandria database. Energies are from SCAN.

a = 4.5259 Å, b = 4.5259 Å, c = 4.5259 Å
α = 60.00°, β = 60.00°, γ = 60.00°
With the nearest neighbours (Å) after each atom.
Element x y z (fractional)
Mg1 0.0000 0.0000 0.0000  4 Ta 2.77, 4 Os 2.77
Ta1 0.2500 0.2500 0.2500  4 Ta 2.77, 4 Mg 2.77
Ta2 0.5000 0.5000 0.5000  4 Ta 2.77, 4 Os 2.77
Os1 0.7500 0.7500 0.7500  4 Ta 2.77, 4 Mg 2.77

* symmetry: No. 216
* calculated volume: 16.39 A^3/atom
* ΔH_f (0 K): 0.116 eV per atom


No. 2
Here is a PBEsol-optimized structure of LiAs2Cl from the Alexandria database. Energies are from SCAN.

a = 3.2926 Å, b = 3.2926 Å, c = 8.3104 Å
α = 90.00°, β = 90.00°, γ = 90.00°
With the nearest neighbours (Å) after each atom.
Element x y z (fractional)
Li1 0.0000 0.0000 0.0000  4 Cl 2.33
As1 0.0000 0.0000 0.6347  4 As 2.65
As2 0.5000 0.5000 0.4830  4 As 2.65
Cl1 0.5000 0.5000 0.0195  4 Li 2.33

* symmetry: No. 99
* calculated volume: 22.52 A^3/atom
* uncorrected formation energy: -0.73 eV per atom


No. 3
Here is a PBEsol-optimized structure of ScFeMo2 from the Alexandria database. Energies are from SCAN.

a = 4.3594 Å, b = 4.3594 Å, c = 4.3594 Å
α = 60.00°, β = 60.00°, γ = 60.00°
With the nearest neighbours (Å) after each atom.
Element x y z (fractional)
Sc1 0.0000 0.0000 0.0000  4 Mo 2.67, 4 Fe 2.67
Fe1 0.2500 0.2500 0.2500  4 Mo 2.67, 4 Sc 2.67
Mo1 0.5000 0.5000 0.5000  4 Fe 2.67, 4 Mo 2.67
Mo2 0.7500 0.7500 0.7500  4 Mo 2.67, 4 Sc 2.67

* symmetry: No. 216
* calculated volume: 14.65 A^3/atom
* ΔH_f (0 K): 0.157 eV per atom


No. 4
Here is a PBEsol-optimized structure of BaZrRu2 from the Alexandria database. Energies are from SCAN.

a = 3.0260 Å, b = 3.6887 Å, c = 8.0975 Å
α = 90.00°, β = 90.00°, γ = 90.00°
With the nearest neighbours (Å) after each atom.
Element x y z (fractional)
Ba1 0.0000 0.0000 0.0000  2 Ba 3.03
Zr1 0.5000 0.5000 0.6148  1 Ru 2.49
Ru1 0.0000 0.0000 0.4291  4 Ru 2.58, 4 Zr 2.82
Ru2 0.5000 0.5000 0.3075  1 Zr 2.49, 4 Ru 2.58

* symmetry: No. 25
* calculated volume: 22.60 A^3/atom
* ΔH_f (0 K): 0.335 eV per atom


No. 5
Here is a PBEsol-optimized structure of InNiWF2 from the Alexandria database. Energies are from SCAN.

a = 3.8793 Å, b = 3.8793 Å, c = 6.0157 Å
α = 90.00°, β = 90.00°, γ = 90.00°
With the nearest neighbours (Å) after each atom.
Element x y z (fractional)
In1 0.0000 0.0000 0.0000  4 F 1.94
Ni1 0.5000 0.5000 0.5000  4 W 2.74
W1 0.0000 0.0000 0.5000  4 Ni 2.74, 2 In 3.01
F1 0.0000 0.5000 0.0000  2 In 1.94
F2 0.5000 0.0000 0.0000  2 In 1.94

* symmetry: No. 123
* calculated volume: 18.11 A^3/atom
* uncorrected formation energy: 0.24 eV per atom


No. 6
Here is a PBEsol-optimized structure of NaSrTi3 from the Alexandria database. Energies are from SCAN.

a = 4.9657 Å, b = 4.9657 Å, c = 4.9657 Å
α = 90.00°, β = 90.00°, γ = 90.00°
With the nearest neighbours (Å) after each atom.
Element x y z (fractional)
Na1 0.0000 0.0000 0.0000  6 Ti 2.48
Sr1 0.5000 0.5000 0.5000  12 Ti 3.51
Ti1 0.0000 0.0000 0.5000  2 Na 2.48
Ti2 0.0000 0.5000 0.0000  2 Na 2.48
Ti3 0.5000 0.0000 0.0000  2 Na 2.48

* symmetry: No. 221
* calculated volume: 24.49 A^3/atom
* ΔH_f (0 K): 1.484 eV per atom


No. 7
Here is a PBEsol-optimized structure of SmGa from the Alexandria database. Energies are from SCAN.

a = 5.7249 Å, b = 5.7249 Å, c = 5.5638 Å
α = 90.00°, β = 90.00°, γ = 79.63°
With the nearest neighbours (Å) after each atom.
Element x y z (fractional)
Sm1 0.0212 0.3429 0.2500  8 Ga 3.01-3.34, 3 Sm 3.20-3.30
Sm2 0.3429 0.0212 0.7500  8 Ga 3.01-3.34, 3 Sm 3.20-3.30
Sm3 0.6571 0.9788 0.2500  8 Ga 3.01-3.34, 3 Sm 3.20-3.30
Sm4 0.9788 0.6571 0.7500  8 Ga 3.01-3.34, 3 Sm 3.20-3.30
Ga1 0.1881 0.8119 0.2500  2 Ga 2.68
Ga2 0.5000 0.5000 0.0000  4 Ga 2.68-2.78
Ga3 0.5000 0.5000 0.5000  4 Ga 2.68-2.78
Ga4 0.8119 0.1881 0.7500  2 Ga 2.68

* symmetry: No. 63
* calculated volume: 22.42 A^3/atom
* ΔH_f (0 K): -0.654 eV per atom


No. 8
Here is a PBEsol-optimized structure of Zn2InPt from the Alexandria database. Energies are from SCAN.

a = 4.8355 Å, b = 4.8355 Å, c = 4.8355 Å
α = 131.30°, β = 131.30°, γ = 71.34°
With the nearest neighbours (Å) after each atom.
Element x y z (fractional)
Zn1 0.0000 0.0000 0.0000  4 Zn 2.80, 4 Pt 2.80, 4 In 2.82
Zn2 0.7500 0.2500 0.5000  4 Zn 2.80, 4 In 2.80, 4 Pt 2.82
In1 0.5000 0.5000 0.0000  8 Zn 2.80-2.82, 4 Pt 2.80
Pt1 0.2500 0.7500 0.5000  4 In 2.80, 8 Zn 2.80-2.82

* symmetry: No. 119
* calculated volume: 15.62 A^3/atom
* ΔH_f (0 K): -0.298 eV per atom


- Number 1 is which compound?
  MgTa2Os


- Look up the calculated volume of the sixth one.
  24.49 A^3/atom


- The lowest calculated volume belongs to which entry?
  ScFeMo2